A geometry-optimized AlVAgF6 structure. Source: Alexandria, functional PBE+U.

abc: 5.3557 5.3557 10.2910
angles: 90.00 90.00 120.00
Space group P-31c (No. 163)
One atom of each set of equivalent atoms:
Al 0.3333 0.6667 0.2500
V 0.3333 0.6667 0.7500
Ag 0.0000 0.0000 0.0000
F 0.0402 0.3903 0.1503

## Properties
* calculated total energy: -5.485 eV per atom